In4TcNi | PBE | relaxed

total magnetization = 0.93 μB/f.u.
formation enthalpy at 0 K = 0.90 eV per atom

```
data_In4TcNi
_chemical_formula_sum 'In16 Tc4 Ni4'
_cell_length_a 7.9363
_cell_length_b 7.9363
_cell_length_c 7.9363
_cell_angle_alpha 90.00
_cell_angle_beta 90.00
_cell_angle_gamma 90.00
_space_group_name_H-M_alt 'F -4 3 m'
_space_group_IT_number 216
_space_group_name_Hall 'F -4 2 3'
loop_
_atom_site_label
_atom_site_type_symbol
_atom_site_fract_x
_atom_site_fract_y
_atom_site_fract_z
In1 In 0.1249 0.1249 0.1249
Tc1 Tc 0.0000 0.0000 0.5000
Ni1 Ni 0.2500 0.2500 0.7500
```